A plane-wave DFT calculation with PBE was carried out for a relaxed structure of Ce2CoRe3.

Unit cell a=5.236 b=5.236 c=5.530 alpha=89.98 beta=118.20 gamma=120.09
Each line ends with the local moment (μB).
Sites, in units of the cell vectors:
Ce 0.256 0.628 0.885  -0.09
Ce 0.744 0.372 0.115  -0.09
Re 0.500 0.500 0.500  0.06
Re 0.500 0.000 0.500  0.07
Re 0.000 0.000 0.500  0.06
Co 0.000 0.000 0.000  0.67

Computed properties:
Total energy (eV per atom): -9.479
Crystal system: monoclinic
Space-group type: C2/m, No. 12